(1)
La3Pm3TlIn2 | PBE | relaxed

```
9
Lattice="9.325 0.000 0.000 -4.663 8.076 0.000 0.000 0.000 3.842" Properties=species:S:1:pos:R:3 pbc="T T T"
La -3.328 5.764 0.000
La 1.335 2.312 0.000
La 6.656 0.000 0.000
Pm -1.815 3.144 1.921
Pm 3.631 0.000 1.921
Pm 2.847 4.932 1.921
Tl 0.000 0.000 1.921
In 0.000 5.384 0.000
In 4.663 2.692 0.000
```

Summary:
- formation enthalpy at 0 K (eV per formula unit) = -2.71
- electronic total energy (eV/cell) = -39.59
- Fermi-level density of states (states/eV/atom) = 0.96

(2)
LaPmTlIn | PBE | relaxed

```
4
Lattice="0.000 3.922 3.922 3.922 0.000 3.922 3.922 3.922 0.000" Properties=species:S:1:pos:R:3 pbc="T T T"
La 0.000 0.000 0.000
Pm 3.922 3.922 3.922
Tl 5.882 5.882 5.882
In 1.961 1.961 1.961
```

Summary:
- formation enthalpy at 0 K (eV per formula unit) = -1.81
- electronic total energy (eV/cell) = -16.59
- Fermi-level density of states (states/eV/atom) = 0.66

Question: The lowest Fermi-level density of states belongs to which entry?
Answer: LaPmTlIn